Entry 1:
## Mn2GaCo (PBE-GGA)

Data for an optimized crystal structure of Mn2GaCo.

As for the formation enthalpy at 0 K: 0.5 eV/f.u. Its total energy is -0.5134 Ry/atom. The total magnetization is 7.5 μB per formula unit.

a b c (Å): 2.7680 2.7680 8.1435
angles (deg): 99.63 99.63 60.17
Atoms (fractional coordinates):
Mn 0.0000 0.0000 0.0000
Mn 0.1736 0.1736 0.5250
Ga 0.4204 0.4204 0.2621
Co 0.5872 0.5872 0.7633

***

Entry 2:
## Mn5GaCo6 (PBE-GGA)

Data for an optimized crystal structure of Mn5GaCo6.

As for the formation enthalpy at 0 K: -0.9 eV/f.u. Its total energy is -0.5659 Ry/atom. The total magnetization is 20.0 μB per formula unit.

a b c (Å): 6.3805 6.3805 5.7089
angles (deg): 90.00 90.00 143.17
Atoms (fractional coordinates):
Mn 0.0000 0.0000 0.0000
Mn 0.3331 0.6669 0.0000
Mn 0.3353 0.6647 0.5000
Mn 0.6647 0.3353 0.5000
Mn 0.6669 0.3331 0.0000
Ga 0.0000 0.0000 0.5000
Co 0.1689 0.8311 0.2469
Co 0.1689 0.8311 0.7531
Co 0.5000 0.5000 0.2412
Co 0.5000 0.5000 0.7588
Co 0.8311 0.1689 0.2469
Co 0.8311 0.1689 0.7531

***

Entry 3:
## Mn3GaCo (PBE-GGA)

Data for an optimized crystal structure of Mn3GaCo.

As for the formation enthalpy at 0 K: 9.3 eV/f.u. Its total energy is -0.4171 Ry/atom. The total magnetization is 0.0 μB per formula unit.

a b c (Å): 4.2272 4.2272 4.2272
angles (deg): 90.00 90.00 90.00
Atoms (fractional coordinates):
Mn 0.0000 0.0000 0.5000
Mn 0.0000 0.5000 0.0000
Mn 0.5000 0.0000 0.0000
Ga 0.0000 0.0000 0.0000
Co 0.5000 0.5000 0.5000

***

Entry 4:
## Mn2GaCo (PBE-GGA)

Data for an optimized crystal structure of Mn2GaCo.

As for the formation enthalpy at 0 K: -0.6 eV/f.u. Its total energy is -0.5351 Ry/atom. The total magnetization is 2.0 μB per formula unit.

a b c (Å): 4.0782 4.0782 4.0782
angles (deg): 60.00 60.00 60.00
Atoms (fractional coordinates):
Mn 0.0000 0.0000 0.0000
Mn 0.2500 0.2500 0.2500
Ga 0.5000 0.5000 0.5000
Co 0.7500 0.7500 0.7500

***

Entry 5:
## Mn15GaCo4 (PBE-GGA)

Data for an optimized crystal structure of Mn15GaCo4.

As for the formation enthalpy at 0 K: -0.6 eV/f.u. Its total energy is -0.6232 Ry/atom. The total magnetization is 6.1 μB per formula unit.

a b c (Å): 3.5889 3.5889 17.7100
angles (deg): 90.00 90.00 90.00
Atoms (fractional coordinates):
Mn 0.0000 0.0000 0.0000
Mn 0.0000 0.0000 0.2048
Mn 0.0000 0.0000 0.4015
Mn 0.0000 0.0000 0.5985
Mn 0.0000 0.0000 0.7952
Mn 0.0000 0.5000 0.1062
Mn 0.0000 0.5000 0.3022
Mn 0.0000 0.5000 0.5000
Mn 0.0000 0.5000 0.6978
Mn 0.0000 0.5000 0.8938
Mn 0.5000 0.0000 0.1062
Mn 0.5000 0.0000 0.3022
Mn 0.5000 0.0000 0.5000
Mn 0.5000 0.0000 0.6978
Mn 0.5000 0.0000 0.8938
Ga 0.5000 0.5000 0.0000
Co 0.5000 0.5000 0.2022
Co 0.5000 0.5000 0.4012
Co 0.5000 0.5000 0.5988
Co 0.5000 0.5000 0.7978

***

Entry 6:
## MnGaCo2 (PBE-GGA)

Data for an optimized crystal structure of MnGaCo2.

As for the formation enthalpy at 0 K: 1.5 eV/f.u. Its total energy is -0.4578 Ry/atom. The total magnetization is 5.9 μB per formula unit.

a b c (Å): 5.2567 5.2567 5.2567
angles (deg): 103.04 103.04 123.28
Atoms (fractional coordinates):
Mn 0.0000 0.0000 0.0000
Mn 0.7500 0.2500 0.5000
Ga 0.2500 0.7500 0.5000
Ga 0.5000 0.5000 0.0000
Co 0.1218 0.6250 0.9968
Co 0.3750 0.3718 0.4968
Co 0.6282 0.1250 0.0032
Co 0.8750 0.8782 0.5032

***

Entry 7:
## MnGa3Co (PBE-GGA)

Data for an optimized crystal structure of MnGa3Co.

As for the formation enthalpy at 0 K: 1.1 eV/f.u. Its total energy is -0.3567 Ry/atom. The relative energy among the computed polymorphs comes out at 0.0 meV per atom. The total magnetization is 4.4 μB per formula unit.

a b c (Å): 4.5046 4.5046 4.5046
angles (deg): 90.00 90.00 90.00
Atoms (fractional coordinates):
Mn 0.0000 0.0000 0.0000
Ga 0.0000 0.5000 0.5000
Ga 0.5000 0.0000 0.5000
Ga 0.5000 0.5000 0.0000
Co 0.5000 0.5000 0.5000

***

Entry 8:
## MnGa6Co5 (PBE-GGA)

Data for an optimized crystal structure of MnGa6Co5.

As for the formation enthalpy at 0 K: -2.8 eV/f.u. Its total energy is -0.4021 Ry/atom. The total magnetization is 1.2 μB per formula unit.

a b c (Å): 7.0614 7.0614 7.0614
angles (deg): 146.77 129.92 61.43
Atoms (fractional coordinates):
Mn 0.0000 0.0000 0.0000
Ga 0.0872 0.8309 0.2563
Ga 0.2609 0.5000 0.7609
Ga 0.4255 0.1691 0.2563
Ga 0.5745 0.8309 0.7437
Ga 0.7391 0.5000 0.2391
Ga 0.9128 0.1691 0.7437
Co 0.1623 0.6623 0.5000
Co 0.3305 0.3305 0.0000
Co 0.5000 0.0000 0.5000
Co 0.6695 0.6695 0.0000
Co 0.8377 0.3377 0.5000

***

- Among the records above, which one has the lowest formation enthalpy at 0 K?
  MnGa6Co5